Here is CsBr3N at its PBEsol-relaxed geometry from Alexandria. Energies are from meta-GGA SCAN.

abc: 4.9485 4.9485 4.9485
angles: 90.00 90.00 90.00
Positions (direct):
Cs: 0.0000 0.0000 0.0000
Br: 0.0000 0.5000 0.5000
Br: 0.5000 0.0000 0.5000
Br: 0.5000 0.5000 0.0000
N: 0.5000 0.5000 0.5000

Computed properties:
E_form (uncorrected) (eV per atom): 0.0996
Crystal system: cubic
Uncorrected energy (eV/atom): -20.9965
M_tot (μB per formula unit): 0.5

Here is ZnTe2WBr at its PBEsol-relaxed geometry from Alexandria. Energies are from meta-GGA SCAN.

abc: 5.6857 5.6857 4.5884
angles: 90.00 90.00 90.00
Positions (direct):
Zn: 0.0000 0.0000 0.0000
Te: 0.0000 0.5000 0.5000
Te: 0.5000 0.0000 0.5000
W: 0.5000 0.5000 0.0000
Br: 0.5000 0.5000 0.5000

Computed properties:
E_form (uncorrected) (eV per atom): 1.8644
Crystal system: tetragonal
Uncorrected energy (eV/atom): -33.5686
M_tot (μB per formula unit): 2.4